# Bi3SbW

An optimized crystal structure of Bi3SbW (PBE-GGA, Alexandria via LeMat-Bulk).

The structure in extended XYZ format:
```
5
Lattice="5.399 0.000 0.000 0.000 5.399 0.000 0.000 0.000 5.399" Properties=species:S:1:pos:R:3 pbc="T T T"
Bi 0.000 0.000 2.700
Bi 0.000 2.700 0.000
Bi 2.700 0.000 0.000
Sb 2.700 2.700 2.700
W 0.000 0.000 0.000
```

Results
Crystal system = cubic
Formation energy (no corrections) = 0.7887 eV/atom
Magnetization = 0.00 μB per atom
V = 157 Å³ per cell
ρ = 9.84 g/cm³

---

# BiSbW2

An optimized crystal structure of BiSbW2 (PBE-GGA, Alexandria via LeMat-Bulk).

The structure in extended XYZ format:
```
4
Lattice="0.000 3.383 3.383 3.383 0.000 3.383 3.383 3.383 0.000" Properties=species:S:1:pos:R:3 pbc="T T T"
Bi 0.000 0.000 0.000
Sb 3.383 3.383 3.383
W 1.692 1.692 1.692
W 5.075 5.075 5.075
```

Results
Crystal system = cubic
Formation energy (no corrections) = 0.9352 eV/atom
Magnetization = 0.00 μB per atom
V = 77 Å³ per cell
ρ = 14.97 g/cm³

---

# BiSbW2

An optimized crystal structure of BiSbW2 (PBE-GGA, Alexandria via LeMat-Bulk).

The structure in extended XYZ format:
```
8
Lattice="-3.960 3.960 2.900 3.960 -3.960 2.900 3.960 3.960 -2.900" Properties=species:S:1:pos:R:3 pbc="T T T"
Bi 0.000 0.000 0.000
Bi 0.000 3.960 1.450
Sb 3.960 0.000 1.450
Sb 0.000 0.000 2.900
W 1.980 -1.668 2.175
W 2.292 1.980 0.725
W 1.980 5.629 -0.725
W 1.668 1.980 3.625
```

Results
Crystal system = tetragonal
Formation energy (no corrections) = 1.5105 eV/atom
Magnetization = 0.20 μB per atom
V = 182 Å³ per cell
ρ = 12.75 g/cm³

---

# Bi3SbW

An optimized crystal structure of Bi3SbW (PBE-GGA, Alexandria via LeMat-Bulk).

The structure in extended XYZ format:
```
5
Lattice="5.739 0.000 0.000 0.000 5.739 0.000 0.000 0.000 5.739" Properties=species:S:1:pos:R:3 pbc="T T T"
Bi 0.000 0.000 2.869
Bi 0.000 2.869 0.000
Bi 2.869 0.000 0.000
Sb 0.000 0.000 0.000
W 2.869 2.869 2.869
```

Results
Crystal system = cubic
Formation energy (no corrections) = 1.8278 eV/atom
Magnetization = 0.77 μB per atom
V = 189 Å³ per cell
ρ = 8.19 g/cm³

---

# YBiSb3

An optimized crystal structure of YBiSb3 (PBE-GGA, Alexandria via LeMat-Bulk).

The structure in extended XYZ format:
```
5
Lattice="5.750 0.000 0.000 0.000 5.750 0.000 0.000 0.000 5.750" Properties=species:S:1:pos:R:3 pbc="T T T"
Y 0.000 0.000 0.000
Bi 2.875 2.875 2.875
Sb 0.000 0.000 2.875
Sb 0.000 2.875 0.000
Sb 2.875 0.000 0.000
```

Results
Crystal system = cubic
Formation energy (no corrections) = 0.4124 eV/atom
Magnetization = 0.00 μB per atom
V = 190 Å³ per cell
ρ = 5.79 g/cm³

---

# YBi2Sb2

An optimized crystal structure of YBi2Sb2 (PBE-GGA, Alexandria via LeMat-Bulk).

The structure in extended XYZ format:
```
10
Lattice="8.472 0.000 0.000 0.000 8.472 0.000 0.000 0.000 4.351" Properties=species:S:1:pos:R:3 pbc="T T T"
Y 0.000 0.000 0.000
Y 4.236 4.236 0.000
Bi 1.196 3.040 0.000
Bi 3.040 7.276 0.000
Bi 5.432 1.196 0.000
Bi 7.276 5.432 0.000
Sb 1.572 5.808 2.175
Sb 2.664 1.572 2.175
Sb 5.808 6.900 2.175
Sb 6.900 2.664 2.175
```

Results
Crystal system = tetragonal
Formation energy (no corrections) = -0.1720 eV/atom
Magnetization = 0.00 μB per atom
V = 312 Å³ per cell
ρ = 7.98 g/cm³

---

- The highest ρ belongs to which entry?
  number 2

---

- formation energy (no corrections) of number 4 (Bi3SbW)?
  1.8278 eV/atom

---

- Which of these has the lowest formation energy (no corrections)?
  YBi2Sb2

---

- Which value of V does entry 4 give?
  189 Å³ per cell